# MgPaRuPt | Alexandria | PBE | relaxed
data_MgPaRuPt
_cell_length_a 4.4883
_cell_length_b 4.4883
_cell_length_c 7.3914
_cell_angle_alpha 90.00
_cell_angle_beta 90.00
_cell_angle_gamma 90.00
_space_group_name_H-M_alt 'I -4 m 2'
_space_group_IT_number 119
_space_group_name_Hall 'I -4 -2'
loop_
_atom_site_label
_atom_site_type_symbol
_atom_site_fract_x
_atom_site_fract_y
_atom_site_fract_z
Mg1 Mg 0.0000 0.0000 0.0000
Pa1 Pa 0.0000 0.0000 0.5000
Ru1 Ru 0.0000 0.5000 0.7500
Pt1 Pt 0.0000 0.5000 0.2500
# Density of states at the Fermi level = 4.43 states/eV per cell
# ΔH_f (0 K) = -2.31 eV/f.u.
# Distance to the lowest polymorph of the same formula = 0.0 meV/atom
# VASP energy = -0.52763 Ry/atom

***

# Sr2AlNi | Alexandria | PBE | relaxed
data_Sr2AlNi
_cell_length_a 7.3056
_cell_length_b 7.3056
_cell_length_c 7.3056
_cell_angle_alpha 90.00
_cell_angle_beta 90.00
_cell_angle_gamma 90.00
_space_group_name_H-M_alt 'F -4 3 m'
_space_group_IT_number 216
_space_group_name_Hall 'F -4 2 3'
loop_
_atom_site_label
_atom_site_type_symbol
_atom_site_fract_x
_atom_site_fract_y
_atom_site_fract_z
Sr1 Sr 0.0000 0.0000 0.0000
Sr2 Sr 0.2500 0.2500 0.2500
Al1 Al 0.0000 0.0000 0.5000
Ni1 Ni 0.2500 0.2500 0.7500
# Density of states at the Fermi level = 22.22 states/eV per cell
# ΔH_f (0 K) = 0.88 eV/f.u.
# VASP energy = -0.22055 Ry/atom

***

# La2Ga2Au | Alexandria | PBE | relaxed
data_La2Ga2Au
_cell_length_a 3.7555
_cell_length_b 3.7555
_cell_length_c 18.5897
_cell_angle_alpha 90.00
_cell_angle_beta 90.00
_cell_angle_gamma 90.00
_space_group_name_H-M_alt 'I 4/m m m'
_space_group_IT_number 139
_space_group_name_Hall '-I 4 2'
loop_
_atom_site_label
_atom_site_type_symbol
_atom_site_fract_x
_atom_site_fract_y
_atom_site_fract_z
La1 La 0.0000 0.0000 0.1026
Ga1 Ga 0.0000 0.5000 0.2500
Au1 Au 0.0000 0.0000 0.5000
# Density of states at the Fermi level = 11.06 states/eV per cell
# ΔH_f (0 K) = -2.19 eV/f.u.
# Distance to the lowest polymorph of the same formula = 270.9 meV/atom
# VASP energy = -0.31416 Ry/atom

***

# LiAsN2F | Alexandria | PBE | relaxed
data_LiAsN2F
_cell_length_a 4.7007
_cell_length_b 4.7007
_cell_length_c 3.8308
_cell_angle_alpha 90.00
_cell_angle_beta 90.00
_cell_angle_gamma 90.00
_space_group_name_H-M_alt 'P 4/m m m'
_space_group_IT_number 123
_space_group_name_Hall '-P 4 2'
loop_
_atom_site_label
_atom_site_type_symbol
_atom_site_fract_x
_atom_site_fract_y
_atom_site_fract_z
Li1 Li 0.0000 0.0000 0.0000
As1 As 0.5000 0.5000 0.0000
N1 N 0.0000 0.5000 0.5000
F1 F 0.5000 0.5000 0.5000
# Density of states at the Fermi level = 0.99 states/eV per cell
# Formation energy from raw total energies = 1.557 eV per atom
# Distance to the lowest polymorph of the same formula = 1448.1 meV/atom
# VASP energy = -0.25429 Ry/atom

***

# Ce3SmBi3 | Alexandria | PBE | relaxed
data_Ce3SmBi3
_cell_length_a 7.9420
_cell_length_b 7.9420
_cell_length_c 25.5652
_cell_angle_alpha 90.00
_cell_angle_beta 90.00
_cell_angle_gamma 120.00
_space_group_name_H-M_alt 'R -3'
_space_group_IT_number 148
_space_group_name_Hall '-R 3'
loop_
_atom_site_label
_atom_site_type_symbol
_atom_site_fract_x
_atom_site_fract_y
_atom_site_fract_z
Ce1 Ce 0.0196 0.7216 0.4691
Sm1 Sm 0.0000 0.0000 0.3340
Bi1 Bi 0.0186 0.7174 0.9342
# Density of states at the Fermi level = 76.34 states/eV per cell
# ΔH_f (0 K) = -2.67 eV/f.u.
# VASP energy = -0.38673 Ry/atom

***

# Li3TlAg2 | Alexandria | PBE | relaxed
data_Li3TlAg2
_cell_length_a 4.3219
_cell_length_b 13.0230
_cell_length_c 3.7586
_cell_angle_alpha 90.00
_cell_angle_beta 90.00
_cell_angle_gamma 90.00
_space_group_name_H-M_alt 'C m m m'
_space_group_IT_number 65
_space_group_name_Hall '-C 2 2'
loop_
_atom_site_label
_atom_site_type_symbol
_atom_site_fract_x
_atom_site_fract_y
_atom_site_fract_z
Li1 Li 0.0000 0.0000 0.0000
Li2 Li 0.0000 0.3292 0.0000
Tl1 Tl 0.0000 0.5000 0.5000
Ag1 Ag 0.0000 0.1715 0.5000
# Density of states at the Fermi level = 5.13 states/eV per cell
# ΔH_f (0 K) = -1.18 eV/f.u.
# VASP energy = -0.18366 Ry/atom